Version P
Density functional theory data (PBE) for a relaxed Mg5Si9 crystal.

Calculated density   2.31 g/cm³

CIF file:
```
data_Mg5Si9
_chemical_formula_sum 'Mg10 Si18'
_space_group_name_H-M_alt 'P 1'
_space_group_IT_number 1
_cell_length_a 6.998
_cell_length_b 7.076
_cell_length_c 12.613
_cell_angle_alpha 76.38
_cell_angle_beta 82.26
_cell_angle_gamma 62.50
loop_
_space_group_symop_operation_xyz
'x,y,z'
loop_
_atom_site_label
_atom_site_type_symbol
_atom_site_fract_x
_atom_site_fract_y
_atom_site_fract_z
Mg1 Mg 0.000 0.000 0.000
Mg2 Mg 0.006 0.373 0.354
Mg3 Mg 0.137 0.493 0.089
Mg4 Mg 0.201 0.076 0.767
Mg5 Mg 0.224 0.487 0.523
Mg6 Mg 0.413 0.939 0.546
Mg7 Mg 0.431 0.129 0.986
Mg8 Mg 0.621 0.703 0.150
Mg9 Mg 0.773 0.695 0.729
Mg10 Mg 0.857 0.192 0.205
Si1 Si 0.032 0.388 0.899
Si2 Si 0.120 0.820 0.661
Si3 Si 0.250 0.796 0.328
Si4 Si 0.298 0.457 0.771
Si5 Si 0.317 0.079 0.211
Si6 Si 0.448 0.172 0.347
Si7 Si 0.461 0.754 0.930
Si8 Si 0.523 0.170 0.670
Si9 Si 0.557 0.445 0.342
Si10 Si 0.564 0.402 0.043
Si11 Si 0.638 0.404 0.848
Si12 Si 0.699 0.305 0.518
Si13 Si 0.780 0.850 0.393
Si14 Si 0.808 0.559 0.545
Si15 Si 0.817 0.752 0.938
Si16 Si 0.832 0.028 0.786
Si17 Si 0.988 0.967 0.476
Si18 Si 0.998 0.766 0.228
```

Version Q
Density functional theory data (PBE) for a relaxed Mg5Si9 crystal.

Calculated density   2.32 g/cm³

CIF file:
```
data_Mg5Si9
_chemical_formula_sum 'Mg10 Si18'
_space_group_name_H-M_alt 'P 1'
_space_group_IT_number 1
_cell_length_a 6.441
_cell_length_b 7.499
_cell_length_c 12.376
_cell_angle_alpha 88.23
_cell_angle_beta 81.52
_cell_angle_gamma 65.06
loop_
_space_group_symop_operation_xyz
'x,y,z'
loop_
_atom_site_label
_atom_site_type_symbol
_atom_site_fract_x
_atom_site_fract_y
_atom_site_fract_z
Mg1 Mg 0.000 0.000 0.000
Mg2 Mg 0.003 0.777 0.773
Mg3 Mg 0.253 0.934 0.338
Mg4 Mg 0.282 0.213 0.499
Mg5 Mg 0.450 0.793 0.816
Mg6 Mg 0.597 0.228 0.866
Mg7 Mg 0.734 0.298 0.481
Mg8 Mg 0.850 0.485 0.666
Mg9 Mg 0.947 0.280 0.205
Mg10 Mg 0.966 0.434 0.922
Si1 Si 0.028 0.000 0.581
Si2 Si 0.071 0.121 0.758
Si3 Si 0.215 0.436 0.289
Si4 Si 0.238 0.591 0.985
Si5 Si 0.246 0.664 0.511
Si6 Si 0.375 0.980 0.091
Si7 Si 0.392 0.204 0.702
Si8 Si 0.412 0.512 0.669
Si9 Si 0.501 0.533 0.335
Si10 Si 0.523 0.172 0.178
Si11 Si 0.607 0.401 0.057
Si12 Si 0.610 0.664 0.163
Si13 Si 0.653 0.875 0.421
Si14 Si 0.698 0.922 0.609
Si15 Si 0.700 0.855 0.952
Si16 Si 0.848 0.964 0.265
Si17 Si 0.957 0.567 0.457
Si18 Si 0.991 0.659 0.158
```

Version R
Density functional theory data (PBE) for a relaxed Mg5Si9 crystal.

Calculated density   2.24 g/cm³

CIF file:
```
data_Mg5Si9
_chemical_formula_sum 'Mg10 Si18'
_space_group_name_H-M_alt 'P 1'
_space_group_IT_number 1
_cell_length_a 6.764
_cell_length_b 6.954
_cell_length_c 13.538
_cell_angle_alpha 75.34
_cell_angle_beta 76.28
_cell_angle_gamma 65.91
loop_
_space_group_symop_operation_xyz
'x,y,z'
loop_
_atom_site_label
_atom_site_type_symbol
_atom_site_fract_x
_atom_site_fract_y
_atom_site_fract_z
Mg1 Mg 0.000 0.000 0.000
Mg2 Mg 0.010 0.692 0.668
Mg3 Mg 0.156 0.406 0.469
Mg4 Mg 0.187 0.123 0.148
Mg5 Mg 0.428 0.530 0.076
Mg6 Mg 0.593 0.091 0.232
Mg7 Mg 0.624 0.511 0.708
Mg8 Mg 0.692 0.825 0.897
Mg9 Mg 0.747 0.674 0.136
Mg10 Mg 0.821 0.137 0.536
Si1 Si 0.023 0.793 0.195
Si2 Si 0.023 0.968 0.790
Si3 Si 0.159 0.424 0.257
Si4 Si 0.203 0.036 0.610
Si5 Si 0.321 0.290 0.756
Si6 Si 0.334 0.386 0.911
Si7 Si 0.336 0.743 0.879
Si8 Si 0.369 0.829 0.342
Si9 Si 0.437 0.425 0.579
Si10 Si 0.452 0.771 0.512
Si11 Si 0.488 0.939 0.717
Si12 Si 0.493 0.493 0.287
Si13 Si 0.568 0.118 0.026
Si14 Si 0.816 0.764 0.503
Si15 Si 0.854 0.311 0.332
Si16 Si 0.945 0.336 0.817
Si17 Si 0.961 0.409 0.982
Si18 Si 0.982 0.930 0.348
```

Version S
Density functional theory data (PBE) for a relaxed Mg5Si9 crystal.

Calculated density   2.36 g/cm³

CIF file:
```
data_Mg5Si9
_chemical_formula_sum 'Mg10 Si18'
_space_group_name_H-M_alt 'P 1'
_space_group_IT_number 1
_cell_length_a 7.486
_cell_length_b 7.491
_cell_length_c 10.936
_cell_angle_alpha 94.72
_cell_angle_beta 98.81
_cell_angle_gamma 117.89
loop_
_space_group_symop_operation_xyz
'x,y,z'
loop_
_atom_site_label
_atom_site_type_symbol
_atom_site_fract_x
_atom_site_fract_y
_atom_site_fract_z
Mg1 Mg 0.000 0.000 0.000
Mg2 Mg 0.004 0.235 0.358
Mg3 Mg 0.129 0.658 0.949
Mg4 Mg 0.140 0.869 0.242
Mg5 Mg 0.238 0.962 0.764
Mg6 Mg 0.387 0.149 0.546
Mg7 Mg 0.405 0.586 0.764
Mg8 Mg 0.670 0.000 0.705
Mg9 Mg 0.724 0.455 0.187
Mg10 Mg 0.936 0.453 0.639
Si1 Si 0.037 0.132 0.604
Si2 Si 0.056 0.446 0.145
Si3 Si 0.079 0.277 0.821
Si4 Si 0.287 0.731 0.563
Si5 Si 0.388 0.346 0.309
Si6 Si 0.389 0.308 0.954
Si7 Si 0.398 0.523 0.129
Si8 Si 0.404 0.061 0.083
Si9 Si 0.491 0.684 0.432
Si10 Si 0.553 0.952 0.301
Si11 Si 0.557 0.908 0.959
Si12 Si 0.618 0.350 0.807
Si13 Si 0.674 0.297 0.411
Si14 Si 0.712 0.845 0.154
Si15 Si 0.812 0.769 0.568
Si16 Si 0.824 0.251 0.948
Si17 Si 0.827 0.702 0.782
Si18 Si 0.970 0.661 0.427
```

What is the stability order? It is version S, version P, version Q, version R, from most stable to least stable.